(1)
## LiMnC3 (GGA-PBE)

Data for an optimized crystal structure of LiMnC3.

Computed properties:
Symmetry: Pm-3m (221)
E_form, eV/atom: 2.897
Calculated volume, A^3/atom: 8.5
Offset from the most stable computed form, kJ/mol of formula units: 706
DOS(E_F), states/eV per atom: 1.524
Crystal system: cubic

a = 3.4864 Å, b = 3.4864 Å, c = 3.4864 Å
α = 90.00°, β = 90.00°, γ = 90.00°
Last column: nearest neighbours and their distance in Å.
Sites, in units of the cell vectors:
1 Li 0.0000 0.0000 0.0000  6 C 1.74
2 Mn 0.5000 0.5000 0.5000  12 C 2.47
3 C 0.0000 0.0000 0.5000  2 Li 1.74
4 C 0.0000 0.5000 0.0000  2 Li 1.74
5 C 0.5000 0.0000 0.0000  2 Li 1.74


(2)
## HoNp2PdS5 (GGA-PBE)

Data for an optimized crystal structure of HoNp2PdS5.

Computed properties:
Symmetry: Cmc2_1 (36)
Calculated volume, A^3/atom: 20.1
DOS(E_F), states/eV per atom: 1.860
Crystal system: orthorhombic
Formation energy (no corrections), eV/atom: -1.3558

a = 8.3450 Å, b = 8.3450 Å, c = 11.7685 Å
α = 90.00°, β = 90.00°, γ = 153.77°
Last column: nearest neighbours and their distance in Å.
Sites, in units of the cell vectors:
1 Ho 0.1779 0.8221 0.5000  6 S 2.69-2.80
2 Ho 0.8221 0.1779 0.0000  6 S 2.69-2.80
3 Np 0.1073 0.8927 0.8254  7 S 2.75-3.03
4 Np 0.1200 0.8800 0.1707  8 S 2.82-3.00
5 Np 0.8800 0.1200 0.6707  8 S 2.82-3.00
6 Np 0.8927 0.1073 0.3254  7 S 2.75-3.03
7 Pd 0.4451 0.5549 0.8949  4 S 2.33-2.41
8 Pd 0.5549 0.4451 0.3949  4 S 2.33-2.41
9 S 0.0060 0.9940 0.4989  2 Pd 2.39
10 S 0.3047 0.6953 0.1649  2 Ho 2.73, 3 Np 3.00-3.03
11 S 0.3050 0.6950 0.8268  1 Pd 2.41
12 S 0.3435 0.6565 0.4961  1 Ho 2.69, 4 Np 2.86-2.87
13 S 0.4953 0.5047 0.2147  1 Pd 2.33
14 S 0.5047 0.4953 0.7147  1 Pd 2.33
15 S 0.6565 0.3435 0.9961  1 Ho 2.69, 4 Np 2.86-2.87
16 S 0.6950 0.3050 0.3268  1 Pd 2.41
17 S 0.6953 0.3047 0.6649  2 Ho 2.73, 3 Np 3.00-3.03
18 S 0.9940 0.0060 0.9989  2 Pd 2.39


(3)
## VZnN3 (GGA-PBE)

Data for an optimized crystal structure of VZnN3.

Computed properties:
Symmetry: Pm-3m (221)
Calculated volume, A^3/atom: 11.0
DOS(E_F), states/eV per atom: 0.658
Crystal system: cubic
Formation energy (no corrections), eV/atom: 0.6663

a = 3.8081 Å, b = 3.8081 Å, c = 3.8081 Å
α = 90.00°, β = 90.00°, γ = 90.00°
Last column: nearest neighbours and their distance in Å.
Sites, in units of the cell vectors:
1 V 0.0000 0.0000 0.0000  6 N 1.90
2 Zn 0.5000 0.5000 0.5000  12 N 2.69
3 N 0.0000 0.0000 0.5000  2 V 1.90
4 N 0.0000 0.5000 0.0000  2 V 1.90
5 N 0.5000 0.0000 0.0000  2 V 1.90


(4)
## HfVMo (GGA-PBE)

Data for an optimized crystal structure of HfVMo.

Computed properties:
Symmetry: Imma (74)
E_form, eV/atom: -0.155
Calculated volume, A^3/atom: 17.2
Offset from the most stable computed form, kJ/mol of formula units: 0
DOS(E_F), states/eV per atom: 1.318
Crystal system: orthorhombic

a = 5.2580 Å, b = 5.2580 Å, c = 5.2580 Å
α = 120.19°, β = 119.34°, γ = 90.40°
Last column: nearest neighbours and their distance in Å.
Sites, in units of the cell vectors:
1 Hf 0.3752 0.1252 0.2500  6 Mo 3.07-3.10, 6 V 3.08, 4 Hf 3.21-3.24
2 Hf 0.6248 0.8748 0.7500  6 Mo 3.07-3.10, 6 V 3.08, 4 Hf 3.21-3.24
3 V 0.0000 0.5000 0.5000  4 Mo 2.63, 2 V 2.66
4 V 0.5000 0.5000 0.0000  4 Mo 2.63, 2 V 2.66
5 Mo 0.0000 0.0000 0.5000  2 Mo 2.62, 4 V 2.63
6 Mo 0.0000 0.5000 0.0000  2 Mo 2.62, 4 V 2.63


(5)
## VFeRh (GGA-PBE)

Data for an optimized crystal structure of VFeRh.

Computed properties:
Symmetry: C2/m (12)
E_form, eV/atom: 0.309
Calculated volume, A^3/atom: 14.4
Offset from the most stable computed form, kJ/mol of formula units: 139
DOS(E_F), states/eV per atom: 0.747
Crystal system: monoclinic

a = 3.9522 Å, b = 3.9522 Å, c = 6.1972 Å
α = 108.51°, β = 108.51°, γ = 89.89°
Last column: nearest neighbours and their distance in Å.
Sites, in units of the cell vectors:
1 V 0.1418 0.1418 0.2849  4 Fe 2.31, 4 Rh 2.53
2 V 0.8582 0.8582 0.7151  4 Fe 2.31, 4 Rh 2.53
3 Fe 0.2506 0.7494 0.5000  4 V 2.31
4 Fe 0.7494 0.2506 0.5000  4 V 2.31
5 Rh 0.0000 0.5000 0.0000  4 V 2.53, 2 Fe 2.77, 4 Rh 2.79-2.80
6 Rh 0.5000 0.0000 0.0000  4 V 2.53, 2 Fe 2.77, 4 Rh 2.79-2.80


(6)
## Hf8FeGe2 (GGA-PBE)

Data for an optimized crystal structure of Hf8FeGe2.

Computed properties:
Symmetry: C2/m (12)
E_form, eV/atom: -0.252
Calculated volume, A^3/atom: 20.2
DOS(E_F), states/eV per atom: 0.933
Crystal system: monoclinic

a = 8.2804 Å, b = 8.2804 Å, c = 7.1452 Å
α = 97.49°, β = 97.49°, γ = 27.23°
Last column: nearest neighbours and their distance in Å.
Sites, in units of the cell vectors:
1 Hf 0.0006 0.0006 0.2805  2 Fe 2.50
2 Hf 0.2082 0.2082 0.8469  3 Ge 2.76-2.92, 2 Hf 3.04
3 Hf 0.3420 0.3420 0.4920  1 Fe 2.54, 2 Ge 2.78
4 Hf 0.4069 0.4069 0.9875  2 Ge 2.82, 5 Hf 2.98-3.10
5 Hf 0.5931 0.5931 0.0125  2 Ge 2.82, 5 Hf 2.98-3.10
6 Hf 0.6580 0.6580 0.5080  1 Fe 2.54, 2 Ge 2.78
7 Hf 0.7918 0.7918 0.1531  3 Ge 2.76-2.92, 2 Hf 3.04
8 Hf 0.9994 0.9994 0.7195  2 Fe 2.50
9 Fe 0.5000 0.5000 0.5000  6 Hf 2.50-2.54
10 Ge 0.1823 0.1823 0.2433  9 Hf 2.76-2.97
11 Ge 0.8177 0.8177 0.7567  9 Hf 2.76-2.97


(7)
## Ce2UNi9 (GGA-PBE)

Data for an optimized crystal structure of Ce2UNi9.

Computed properties:
Symmetry: R-3m (166)
E_form, eV/atom: -0.311
Calculated volume, A^3/atom: 14.4
DOS(E_F), states/eV per atom: 1.404
Crystal system: trigonal

a = 8.7284 Å, b = 8.7284 Å, c = 8.7284 Å
α = 32.68°, β = 32.68°, γ = 32.68°
Last column: nearest neighbours and their distance in Å.
Sites, in units of the cell vectors:
1 Ce 0.1382 0.1382 0.1382  12 Ni 2.83-3.16, 3 Ce 3.17
2 Ce 0.8618 0.8618 0.8618  12 Ni 2.83-3.16, 3 Ce 3.17
3 U 0.0000 0.0000 0.0000  18 Ni 2.84-3.17
4 Ni 0.0817 0.5809 0.5809  7 Ni 2.45-2.55
5 Ni 0.3329 0.3329 0.3329  6 Ni 2.45-2.47
6 Ni 0.4191 0.4191 0.9183  7 Ni 2.45-2.55
7 Ni 0.4191 0.9183 0.4191  7 Ni 2.45-2.55
8 Ni 0.5000 0.5000 0.5000  6 Ni 2.55
9 Ni 0.5809 0.0817 0.5809  7 Ni 2.45-2.55
10 Ni 0.5809 0.5809 0.0817  7 Ni 2.45-2.55
11 Ni 0.6671 0.6671 0.6671  6 Ni 2.45-2.47
12 Ni 0.9183 0.4191 0.4191  7 Ni 2.45-2.55


(8)
## Sc2SnSb (GGA-PBE)

Data for an optimized crystal structure of Sc2SnSb.

Computed properties:
Symmetry: Fm-3m (225)
Calculated volume, A^3/atom: 23.6
Offset from the most stable computed form, kJ/mol of formula units: 105
DOS(E_F), states/eV per atom: 1.579
Crystal system: cubic
Formation energy (no corrections), eV/atom: -0.4962

a = 5.1130 Å, b = 5.1130 Å, c = 5.1130 Å
α = 60.00°, β = 60.00°, γ = 60.00°
Last column: nearest neighbours and their distance in Å.
Sites, in units of the cell vectors:
1 Sc 0.2500 0.2500 0.2500  4 Sb 3.13, 4 Sn 3.13
2 Sc 0.7500 0.7500 0.7500  4 Sb 3.13, 4 Sn 3.13
3 Sn 0.0000 0.0000 0.0000  8 Sc 3.13
4 Sb 0.5000 0.5000 0.5000  8 Sc 3.13


- Among the records above, which one has the highest calculated volume?
  Sc2SnSb